[1]
DFT (PBE-GGA) results for a geometry-optimized LaThNi2Ge2 structure.

For the density, the calculation gives 8.42 g/cm³. The uncorrected energy comes out at -6.28 eV per atom. The value obtained for the energy relative to the elements is -756 meV per atom. The space-group type is P-3m1.

The structure in POSCAR format:
```
LaThNi2Ge2
1.0
-3.491 2.260 -0.539
0.852 -3.191 -2.583
-4.076 -5.110 4.967
Th Ni Ge La
1 2 2 1
direct
0.000 0.000 0.500
0.667 0.333 0.737
0.333 0.667 0.263
0.667 0.333 0.256
0.333 0.667 0.744
0.000 0.000 0.000
```



[2]
DFT (PBE-GGA) results for a geometry-optimized La2TlNiGe structure.

For the density, the calculation gives 7.49 g/cm³. The uncorrected energy comes out at -4.94 eV per atom. The value obtained for the energy relative to the elements is -414 meV per atom. The space-group type is P4/mmm.

The structure in POSCAR format:
```
La2TlNiGe
1.0
5.481 0.000 0.000
0.000 5.481 0.000
0.000 0.000 4.526
Ni La Tl Ge
1 2 1 1
direct
0.000 0.000 0.000
0.500 0.000 0.000
0.000 0.500 0.000
0.500 0.500 0.500
0.000 0.000 0.500
```



[3]
DFT (PBE-GGA) results for a geometry-optimized La2VNiGe structure.

For the density, the calculation gives 5.94 g/cm³. The uncorrected energy comes out at -5.51 eV per atom. The value obtained for the energy relative to the elements is 368 meV per atom. The space-group type is P4/mmm.

The structure in POSCAR format:
```
La2VNiGe
1.0
-0.955 -4.951 -1.452
1.376 1.010 -4.350
4.922 -1.316 1.252
V Ni La Ge
1 1 2 1
direct
0.000 0.000 0.000
0.500 0.500 0.500
0.500 0.000 0.000
0.000 0.000 0.500
0.000 0.500 0.000
```



[4]
DFT (PBE-GGA) results for a geometry-optimized LaYNiGe structure.

For the density, the calculation gives 6.45 g/cm³. The uncorrected energy comes out at -5.93 eV per atom. The value obtained for the energy relative to the elements is -487 meV per atom. The space-group type is F-43m.

The structure in POSCAR format:
```
LaYNiGe
1.0
5.076 0.000 0.000
2.538 4.396 0.000
2.538 1.465 4.144
Ge Ni La Y
1 1 1 1
direct
0.250 0.250 0.250
0.750 0.750 0.750
0.000 0.000 0.000
0.500 0.500 0.500
```



[5]
DFT (PBE-GGA) results for a geometry-optimized La2ZnNi12Ge3 structure.

For the density, the calculation gives 8.15 g/cm³. The uncorrected energy comes out at -5.33 eV per atom. The value obtained for the energy relative to the elements is -83 meV per atom. The space-group type is R-3m.

The structure in POSCAR format:
```
La2ZnNi12Ge3
1.0
1.299 -2.618 -5.692
-3.691 -5.169 0.774
-5.121 2.368 -3.018
Ni Ge La Zn
12 3 2 1
direct
0.189 0.189 0.708
0.811 0.292 0.811
0.613 0.613 0.101
0.292 0.811 0.811
0.708 0.189 0.189
0.387 0.899 0.387
0.811 0.811 0.292
0.613 0.101 0.613
0.899 0.387 0.387
0.189 0.708 0.189
0.387 0.387 0.899
0.101 0.613 0.613
0.000 0.000 0.500
0.000 0.500 0.000
0.500 0.000 0.000
0.648 0.648 0.648
0.352 0.352 0.352
0.000 0.000 0.000
```



[6]
DFT (PBE-GGA) results for a geometry-optimized La2ZnNi4Ge3 structure.

For the density, the calculation gives 7.61 g/cm³. The uncorrected energy comes out at -5.45 eV per atom. The value obtained for the energy relative to the elements is -637 meV per atom. The space-group type is P-4m2.

The structure in POSCAR format:
```
La2ZnNi4Ge3
1.0
-2.624 -2.929 1.511
2.602 -0.656 3.247
-4.697 6.866 5.151
Ni Ge La Zn
4 3 2 1
direct
0.500 0.500 0.000
0.500 0.000 0.629
0.000 0.500 0.371
0.000 0.000 0.000
0.000 0.500 0.125
0.000 0.000 0.500
0.500 0.000 0.875
0.000 0.500 0.752
0.500 0.000 0.248
0.500 0.500 0.500
```



[7]
DFT (PBE-GGA) results for a geometry-optimized LaZn2NiGe structure.

For the density, the calculation gives 6.74 g/cm³. The uncorrected energy comes out at -3.93 eV per atom. The value obtained for the energy relative to the elements is -357 meV per atom. The space-group type is P4/mmm. The value obtained for the energy above the most stable polymorph in this dataset is 0.00 eV/f.u.

The structure in POSCAR format:
```
LaZn2NiGe
1.0
4.626 0.000 0.000
0.000 4.626 0.000
0.000 0.000 4.617
Ge Ni Zn La
1 1 2 1
direct
0.000 0.000 0.500
0.000 0.000 0.000
0.500 0.000 0.000
0.000 0.500 0.000
0.500 0.500 0.500
```



[8]
DFT (PBE-GGA) results for a geometry-optimized La2Zn3NiGe4 structure.

For the density, the calculation gives 7.06 g/cm³. The uncorrected energy comes out at -4.31 eV per atom. The value obtained for the energy relative to the elements is -515 meV per atom. The space-group type is P-4m2.

The structure in POSCAR format:
```
La2Zn3NiGe4
1.0
-2.886 -3.197 0.100
1.066 -1.088 -4.030
7.309 -6.482 3.683
Ge Zn La Ni
4 3 2 1
direct
0.000 0.500 0.376
0.500 0.000 0.624
0.500 0.500 0.000
0.000 0.000 0.000
0.000 0.000 0.500
0.500 0.000 0.861
0.000 0.500 0.139
0.000 0.500 0.738
0.500 0.000 0.262
0.500 0.500 0.500
```



[9]
DFT (PBE-GGA) results for a geometry-optimized LaZn2Ni2Ge structure.

For the density, the calculation gives 6.75 g/cm³. The uncorrected energy comes out at -4.17 eV per atom. The value obtained for the energy relative to the elements is -232 meV per atom. The space-group type is P4/mmm.

The structure in POSCAR format:
```
LaZn2Ni2Ge
1.0
4.411 0.000 0.000
0.000 4.411 0.000
0.000 0.000 5.813
Ge La Ni Zn
1 1 2 2
direct
0.000 0.000 0.000
0.000 0.000 0.500
0.500 0.000 0.000
0.000 0.500 0.000
0.500 0.500 0.247
0.500 0.500 0.753
```



[10]
DFT (PBE-GGA) results for a geometry-optimized LaZn2NiGe structure.

For the density, the calculation gives 6.06 g/cm³. The uncorrected energy comes out at -3.57 eV per atom. The value obtained for the energy relative to the elements is 5 meV per atom. The space-group type is P4/mmm. The value obtained for the energy above the most stable polymorph in this dataset is 1.81 eV/f.u.

The structure in POSCAR format:
```
LaZn2NiGe
1.0
-2.303 1.239 4.142
0.637 -4.238 1.622
4.270 1.391 1.958
Ni Zn Ge La
1 2 1 1
direct
0.000 0.500 0.000
0.500 0.000 0.000
0.000 0.000 0.500
0.000 0.000 0.000
0.500 0.500 0.500
```



[11]
DFT (PBE-GGA) results for a geometry-optimized LaNpGe4 structure.

For the density, the calculation gives 8.65 g/cm³. The uncorrected energy comes out at -6.27 eV per atom. The value obtained for the energy relative to the elements is -212 meV per atom. The space-group type is F-43m.

The structure in POSCAR format:
```
LaNpGe4
1.0
5.657 0.000 0.000
2.828 4.899 0.000
2.828 1.633 4.619
Ge La Np
4 1 1
direct
0.624 0.624 0.129
0.624 0.624 0.624
0.624 0.129 0.624
0.129 0.624 0.624
0.000 0.000 0.000
0.250 0.250 0.250
```



[12]
DFT (PBE-GGA) results for a geometry-optimized La3Ge2O structure.

For the density, the calculation gives 6.28 g/cm³. The uncorrected energy comes out at -6.23 eV per atom. The calculation puts the uncorrected formation energy at -1.40 eV per atom. The space-group type is Cmcm. The value obtained for the energy above the most stable polymorph in this dataset is 0.46 eV/f.u.

The structure in POSCAR format:
```
La3Ge2O
1.0
-5.393 -3.027 2.794
-0.470 -4.111 -5.362
4.101 -3.615 3.998
Ge La O
4 6 2
direct
0.750 0.185 0.441
0.250 0.815 0.559
0.250 0.559 0.815
0.750 0.441 0.185
0.250 0.352 0.352
0.000 0.829 0.171
0.500 0.171 0.829
0.500 0.829 0.171
0.750 0.648 0.648
0.000 0.171 0.829
0.250 0.084 0.084
0.750 0.916 0.916
```